VASP calculation (PBE-GGA) on a relaxed InHg3Bi crystal.

a = 5.799 Å, b = 6.487 Å, c = 8.576 Å
α = 109.92°, β = 100.82°, γ = 104.63°
Space group P-1 (No. 2)
Asymmetric unit:
In 0.219 0.128 0.390 [2 per cell]
Hg 0.177 0.655 0.423 [2 per cell]
Hg 0.365 0.110 0.801 [2 per cell]
Hg 0.450 0.592 0.777 [2 per cell]
Bi 0.057 0.734 0.975 [2 per cell]

Computed properties:
The energy above the most stable polymorph in this dataset comes out at 0 meV per atom. The formation energy comes out at 0.0380 eV/atom. As for the volume: 28.0 Å³ per atom. The value obtained for the energy is -1.467 eV per atom. The calculation puts the density of states at the Fermi level at 0.3316 states/eV per atom.